A relaxed NaNiBr crystal, computed with PBE.

CIF file:
```
data_NaNiBr
_cell_length_a 9.147
_cell_length_b 3.501
_cell_length_c 8.503
_cell_angle_alpha 90.00
_cell_angle_beta 90.00
_cell_angle_gamma 90.00
_space_group_name_H-M_alt 'P n m a'
_space_group_IT_number 62
_space_group_name_Hall '-P 2ac 2n'
loop_
_atom_site_label
_atom_site_type_symbol
_atom_site_fract_x
_atom_site_fract_y
_atom_site_fract_z
_atom_site_occupancy
Na1 Na 0.224 0.250 0.010 1
Ni1 Ni 0.018 0.250 0.595 1
Br1 Br 0.045 0.750 0.790 1
```

Crystal system: orthorhombic
V: 272 Å³ per cell
E: -9.8 eV per formula unit
Energy relative to the elements, uncorrected: -0.33 eV/atom
DOS(E_F): 0.000 states/eV/cell